# Cs2TlFe2F7

A relaxed Cs2TlFe2F7 crystal (PBE with a Hubbard U, the Alexandria database).

The structure in POSCAR format:
```
Cs2TlFe2F7
1.0
4.276 -0.053 0.011
-0.048 4.276 0.011
2.083 2.081 11.850
Cs Tl Fe F
2 1 2 7
Cartesian
4.216 4.211 4.411
2.095 2.092 7.461
0.000 0.000 0.000
4.203 4.198 9.725
2.108 2.106 2.147
2.114 2.111 0.011
2.102 2.100 4.268
4.209 4.204 7.604
4.247 2.081 2.156
2.086 4.245 2.156
4.225 2.059 9.716
2.064 4.222 9.716
```

Values from the calculation:
Space-group type: Fmmm
DFT total energy in eV for the cell shown: -57.9
Magnetization in μB per atom: 0.667